Computed, not measured: a relaxed LiAuCl2 crystal at the PBEsol level of DFT.

Lattice parameters (Å, degrees): 3.570 3.570 7.082 104.60 104.60 90.00
Fractional positions:
Au 0.250 0.750 0.500
Cl 0.000 0.000 0.000
Cl 0.750 0.250 0.500
Li 0.500 0.500 0.000

Output
raw formation energy: -2.82 eV per formula unit
energy above the lowest structure with this stoichiometry: 250 meV/atom
size of the total moment: 0.0 μB per cell
theoretical density: 5.41 g cm⁻³

=====

Computed, not measured: a relaxed LiAuCl4 crystal at the PBEsol level of DFT.

Lattice parameters (Å, degrees): 5.742 5.742 5.742 60.00 60.00 60.00
Each line ends with the local moment (μB).
Fractional positions:
Au 0.000 0.000 0.000  0.01
Cl 0.374 0.374 0.374  0.23
Cl 0.374 0.374 0.877  0.23
Cl 0.877 0.374 0.374  0.23
Cl 0.374 0.877 0.374  0.23
Li 0.750 0.750 0.750  0.00

Output
raw formation energy: 2.05 eV per formula unit
size of the total moment: 1.1 μB per cell
theoretical density: 4.29 g cm⁻³

=====

Computed, not measured: a relaxed LiAuCl crystal at the PBEsol level of DFT.

Lattice parameters (Å, degrees): 3.007 3.007 5.996 104.52 104.52 90.00
Fractional positions:
Cl 0.711 0.711 0.421
Au 0.989 0.989 0.977
Li 0.301 0.301 0.601

Output
raw formation energy: -1.74 eV per formula unit
size of the total moment: 0.0 μB per cell
theoretical density: 7.84 g cm⁻³

=====

Computed, not measured: a relaxed LiAuCl2 crystal at the PBEsol level of DFT.

Lattice parameters (Å, degrees): 3.602 3.667 6.363 90.00 106.44 90.00
Fractional positions:
Au 0.761 0.500 0.522
Cl 0.998 0.500 0.996
Cl 0.261 0.000 0.522
Li 0.480 0.000 0.959

Output
raw formation energy: -2.93 eV per formula unit
energy above the lowest structure with this stoichiometry: 224 meV/atom
size of the total moment: 0.0 μB per cell
theoretical density: 5.66 g cm⁻³

=====

The lowest theoretical density belongs to which entry? LiAuCl4

=====

The lowest theoretical density belongs to which entry? LiAuCl4